Record 1
The following is a PBE calculation of a geometry-optimized Pm6S2BrN3 structure, from Alexandria.

Cell lengths 3.7399, 7.9692, 8.7947 Å; angles 107.85, 102.28, 90.00 degrees
Sites, in units of the cell vectors:
Pm 0.3186 0.9392 0.6373
Pm 0.6598 0.6044 0.3197
Pm 0.6814 0.0608 0.3627
Pm 0.9877 0.2877 0.9754
Pm 0.0123 0.7123 0.0246
Pm 0.3402 0.3956 0.6803
S 0.8368 0.6740 0.6736
S 0.1632 0.3260 0.3263
Br 0.5000 0.0000 0.0000
N 0.5000 0.5000 0.0000
N 0.8322 0.1685 0.6645
N 0.1678 0.8315 0.3355

Computed properties:
* uncorrected formation energy: -1.634 eV per atom
* symmetry: C2/m, No. 12

=====

Record 2
The following is a PBE calculation of a geometry-optimized K2SiRu structure, from Alexandria.

Cell lengths 5.2752, 7.5671, 8.7870 Å; angles 31.05, 90.00, 90.00 degrees
Site moments in Bohr magnetons follow the coordinates.
Sites, in units of the cell vectors:
K 0.0000 0.2542 0.0096  0.00
K 0.0000 0.2458 0.4904  0.00
Ru 0.5000 0.2500 0.2500  0.90
Si 0.5000 0.7500 0.7500  -0.02

Computed properties:
* uncorrected formation energy: 0.621 eV per atom
* symmetry: P2/m, No. 10

=====

Record 3
The following is a PBE calculation of a geometry-optimized ThNbCu structure, from Alexandria.

Cell lengths 4.9570, 3.5077, 10.4817 Å; angles 90.00, 90.00, 134.96 degrees
Sites, in units of the cell vectors:
Cu 0.6943 0.3886 0.0000
Cu 0.1944 0.3887 0.5000
Th 0.6945 0.3891 0.3162
Th 0.6945 0.3891 0.6838
Nb 0.1944 0.3888 0.8817
Nb 0.1944 0.3888 0.1183

Computed properties:
* formation energy from the elements: 154 meV per atom
* symmetry: Cmmm, No. 65

=====

Calculated total magnetization, 0.0; 1.0; 0.0 μB per cell (same order as the records).